A geometry-optimized Ac3MnO7 structure. Source: Alexandria, functional GGA+U.

The structure in extended XYZ format:
```
22
Lattice="3.9748 -5.6437 0.0000 3.9748 5.6437 0.0000 0.0000 0.0000 8.0235" Properties=species:S:1:pos:R:3 pbc="T T T"
Ac 0.0068 0.0000 0.0000
Ac 2.1045 2.6422 2.0072
Ac 2.1045 -2.6422 6.0163
Ac 5.8450 2.6422 2.0045
Ac 5.8450 -2.6422 6.0190
Ac 7.9427 0.0000 4.0118
Mn 3.9725 0.0000 0.0000
Mn 3.9770 0.0000 4.0118
O 3.9748 4.1863 6.0176
O 3.9748 4.1634 2.0059
O 2.5250 1.3360 7.8475
O 2.5310 1.3368 4.1892
O 2.5250 -1.3360 0.1760
O 2.5310 -1.3368 3.8343
O 3.9748 0.6021 2.0059
O 3.9748 -0.6021 6.0176
O 5.4186 1.3368 7.8461
O 5.4245 1.3360 4.1878
O 5.4186 -1.3368 0.1774
O 5.4245 -1.3360 3.8358
O 3.9748 -4.1634 6.0176
O 3.9748 -4.1863 2.0059
```

Calculated values
- Space-group type: C222_1
- V: 16.4 A^3/atom
- Size of the total moment: 1.93 μB per formula unit
- Electronic total energy: -7.546 eV/atom
- Density: 7823 kg/m3